A geometry-optimized Li7Co5O12 structure, computed with PBE with a Hubbard U.

The density of states at the Fermi level is 2.97 states/eV/cell. As for the offset from the most stable computed form: 2.25 eV/f.u. As for the total magnetization: 0.4170 μB per atom.

Cell: 4.969 2.928 14.300 Å, 90.00 91.75 90.00°
Positions (direct):
Li  0.000  0.000  0.000
Li  0.000  0.000  0.500
Li  0.154  0.500  0.158
Li  0.336  0.000  0.840
Li  0.500  0.500  0.500
Li  0.664  0.000  0.160
Li  0.846  0.500  0.842
Co  0.167  0.500  0.668
Co  0.333  0.000  0.332
Co  0.500  0.500  0.000
Co  0.667  0.000  0.668
Co  0.833  0.500  0.332
O  0.009  0.000  0.257
O  0.158  0.500  0.408
O  0.205  0.500  0.925
O  0.342  0.000  0.592
O  0.347  0.000  0.074
O  0.493  0.500  0.741
O  0.507  0.500  0.259
O  0.653  0.000  0.926
O  0.658  0.000  0.408
O  0.795  0.500  0.075
O  0.842  0.500  0.592
O  0.991  0.000  0.743